A plane-wave DFT calculation with PBE was carried out for an optimized crystal structure of RbNiI2.

Cell and atoms, written as POSCAR:
```
RbNiI2
1.0
2.105 1.215 9.877
-2.105 1.215 9.877
0.000 -2.431 9.877
Rb Ni I
1 1 2
Cartesian
0.000 0.000 0.000 Rb
0.000 0.000 14.815 Ni
0.000 0.000 3.483 I
0.000 0.000 26.148 I
```

Computed properties:
Formation energy from raw total energies   -0.194 eV/atom
Volume   37.9 A^3/atom
Excess energy over the best structure of this formula in the dataset   396 meV per atom
Final energy   -10.6 eV/cell